A geometry-optimized LiNbCr2Rh structure. Source: the Alexandria database, functional GGA-PBE.

Its formation energy is 559.2 kJ/mol of formula units. The value obtained for the volume is 13.67 Å³ per atom.

The structure belongs to space group P4/mmm (No. 123); the cell edges are 3.962, 3.962 and 4.352 Å and the angles 90.00°, 90.00° and 90.00°. The inequivalent atoms are Li at (0.000, 0.000, 0.000), Nb at (0.000, 0.000, 0.500), Cr at (0.000, 0.500, 0.000) and Rh at (0.500, 0.500, 0.500).